VASP calculation (PBE) on an optimized crystal structure of Y2Ni15B9.

a = 9.848 Å, b = 9.848 Å, c = 11.285 Å
α = 90.00°, β = 90.00°, γ = 72.39°
Fractional positions:
Ni  0.500  0.500  0.000
Ni  0.000  0.000  0.000
Ni  0.162  0.364  0.971
Ni  0.932  0.568  0.250
Ni  0.011  0.831  0.807
Ni  0.491  0.317  0.160
Ni  0.169  0.989  0.807
Ni  0.727  0.506  0.382
Ni  0.831  0.011  0.193
Ni  0.994  0.773  0.118
Ni  0.864  0.662  0.471
Ni  0.742  0.472  0.902
Ni  0.506  0.727  0.618
Ni  0.009  0.183  0.660
Ni  0.472  0.742  0.098
Ni  0.331  0.511  0.307
Ni  0.432  0.068  0.250
Ni  0.528  0.258  0.902
Ni  0.028  0.758  0.598
Ni  0.683  0.509  0.160
Ni  0.000  0.000  0.500
Ni  0.773  0.994  0.882
Ni  0.817  0.991  0.660
Ni  0.758  0.028  0.402
Ni  0.364  0.162  0.029
Ni  0.317  0.491  0.840
Ni  0.636  0.838  0.971
Ni  0.136  0.338  0.529
Ni  0.494  0.273  0.382
Ni  0.107  0.552  0.414
Ni  0.734  0.266  0.288
Ni  0.242  0.972  0.598
Ni  0.258  0.528  0.098
Ni  0.511  0.331  0.693
Ni  0.662  0.864  0.529
Ni  0.234  0.766  0.212
Ni  0.052  0.607  0.914
Ni  0.489  0.669  0.307
Ni  0.338  0.136  0.471
Ni  0.552  0.107  0.586
Ni  0.669  0.489  0.693
Ni  0.227  0.006  0.118
Ni  0.948  0.393  0.086
Ni  0.006  0.227  0.882
Ni  0.893  0.448  0.586
Ni  0.266  0.734  0.712
Ni  0.991  0.817  0.340
Ni  0.448  0.893  0.414
Ni  0.509  0.683  0.840
Ni  0.838  0.636  0.029
Ni  0.500  0.500  0.500
Ni  0.393  0.948  0.914
Ni  0.068  0.432  0.750
Ni  0.972  0.242  0.402
Ni  0.607  0.052  0.086
Ni  0.568  0.932  0.750
Ni  0.183  0.009  0.340
Ni  0.273  0.494  0.618
Ni  0.766  0.234  0.788
Ni  0.989  0.169  0.193
B  0.121  0.621  0.244
B  0.865  0.865  0.500
B  0.379  0.879  0.244
B  0.551  0.050  0.900
B  0.621  0.121  0.256
B  0.449  0.950  0.100
B  0.593  0.702  0.450
B  0.455  0.545  0.172
B  0.879  0.379  0.756
B  0.879  0.379  0.256
B  0.057  0.943  0.200
B  0.955  0.045  0.328
B  0.050  0.551  0.100
B  0.379  0.879  0.744
B  0.950  0.449  0.900
B  0.702  0.593  0.550
B  0.443  0.557  0.700
B  0.635  0.635  0.000
B  0.550  0.051  0.400
B  0.407  0.298  0.550
B  0.365  0.365  0.000
B  0.135  0.135  0.500
B  0.093  0.202  0.050
B  0.298  0.407  0.450
B  0.051  0.550  0.600
B  0.450  0.949  0.600
B  0.907  0.798  0.950
B  0.202  0.093  0.950
B  0.557  0.443  0.300
B  0.121  0.621  0.744
B  0.798  0.907  0.050
B  0.621  0.121  0.756
B  0.943  0.057  0.800
B  0.045  0.955  0.672
B  0.949  0.450  0.400
B  0.545  0.455  0.828
Y  0.260  0.740  0.460
Y  0.308  0.192  0.750
Y  0.240  0.760  0.960
Y  0.740  0.260  0.540
Y  0.760  0.240  0.040
Y  0.192  0.308  0.250
Y  0.692  0.808  0.250
Y  0.808  0.692  0.750

Properties
Space group   Cmce (64)
Total DFT energy (no corrections)   -6.433 eV/atom
V   10.03 Å³ per atom
Total magnetization   0.00 μB/cell